[1]
First-principles (PBE) data for a relaxed structure of LuMnCoPd, as listed in Alexandria.

Unit cell a=4.5069 b=4.5069 c=4.5069 alpha=60.00 beta=60.00 gamma=60.00
Last column: magnetic moment on the atom in μB.
Positions (direct):
Co: 0.5000 0.5000 0.5000  -1.08
Lu: 0.2500 0.2500 0.2500  0.15
Pd: 0.0000 0.0000 0.0000  -0.17
Mn: 0.7500 0.7500 0.7500  -3.68

Values from the calculation:
For the energy of formation, the calculation gives -0.2785 eV per atom. The calculation puts the density of states at the Fermi level at 0.5342 states/eV/atom. Its final energy is -6.78 eV per atom.

***

[2]
First-principles (PBE) data for a relaxed structure of Nd2Dy2Tl5, as listed in Alexandria.

Unit cell a=7.2856 b=9.8832 c=9.7884 alpha=120.32 beta=111.85 gamma=90.00
Positions (direct):
Tl: 0.2633 0.7338 0.9131
Tl: 0.1499 0.2338 0.9131
Dy: 0.2681 0.3758 0.5000
Nd: 0.9070 0.4356 0.7435
Tl: 0.0496 0.0960 0.5000
Nd: 0.6635 0.1920 0.2564
Dy: 0.5000 0.4976 0.0000
Dy: 0.0000 0.9976 0.0000
Tl: 0.4417 0.4942 0.3039
Tl: 0.6378 0.6903 0.6961
Tl: 0.9504 0.5960 0.5000
Nd: 0.3365 0.9356 0.7436
Tl: 0.7367 0.8207 0.0869
Dy: 0.7319 0.8758 0.5000
Tl: 0.8501 0.3207 0.0869
Tl: 0.3622 0.9942 0.3039
Nd: 0.0930 0.6920 0.2564
Tl: 0.5583 0.1903 0.6961

Values from the calculation:
For the energy of formation, the calculation gives -0.1751 eV per atom. The calculation puts the density of states at the Fermi level at 0.8517 states/eV/atom. Its final energy is -3.57 eV per atom.